DFT (PBE-GGA) results for an optimized crystal structure of Tb2PrNdDy.

V = 709.51 Å³/cell
E_form = 0.38 eV per atom
density = 7.17 g/cm³
magnetization = 0.03 μB per cell

Cell lengths 8.4715, 11.6682, 7.1778 Å; angles 90.00, 90.00, 90.00 degrees
Last column: nearest neighbours and their distance in Å.
Space group Cmcm (No. 63)
Symmetry-distinct sites (fractional):
Tb (0.1866, 0.0000, 0.0000) x8  1 Tb 3.16, 2 Nd 3.20, 2 Dy 3.54
Pr (0.0000, 0.2307, 0.2500) x4  1 Nd 3.13
Nd (0.0000, 0.4993, 0.2500) x4  1 Pr 3.13, 4 Tb 3.20, 1 Dy 3.24
Dy (0.0000, 0.2233, 0.7500) x4  1 Nd 3.24, 4 Tb 3.54, 2 Pr 3.59

DFT (PBE-GGA) results for an optimized crystal structure of MnCdH.

V = 37.63 Å³/cell
ΔE to the lowest computed polymorph = 0.075 eV/atom
density = 7.43 g/cm³
magnetization = 2.89 μB per cell

Cell lengths 2.9707, 2.9707, 4.9233 Å; angles 90.00, 90.00, 120.00 degrees
Last column: nearest neighbours and their distance in Å.
Space group P3m1 (No. 156)
Symmetry-distinct sites (fractional):
Mn (0.0000, 0.0000, 0.0000) x1  3 H 1.73
Cd (0.6667, 0.3333, 0.5123) x1  1 H 2.32
H (0.6667, 0.3333, 0.0416) x1  3 Mn 1.73